(1)
# Pr4Dy4Er3 | Alexandria via LeMat-Bulk | GGA-PBE | relaxed
# **E above lowest polymorph**: 0 meV/atom
# **Energy of formation from the pure elements**: 6 kJ per mole of atoms
data_Pr4Dy4Er3
_cell_length_a 3.5391
_cell_length_b 5.6923
_cell_length_c 18.1759
_cell_angle_alpha 99.00
_cell_angle_beta 95.59
_cell_angle_gamma 90.01
_symmetry_space_group_name_H-M 'P -1'
_symmetry_Int_Tables_number 2
loop_
_symmetry_equiv_pos_as_xyz
'x,y,z'
'-x,-y,-z'
loop_
_atom_site_label
_atom_site_type_symbol
_atom_site_fract_x
_atom_site_fract_y
_atom_site_fract_z
Pr1 Pr 0.0908 0.0900 0.1808
Pr2 Pr 0.2310 0.7310 0.4623
Dy1 Dy 0.0458 0.5448 0.0904
Dy2 Dy 0.1808 0.1804 0.3609
Er1 Er 0.3641 0.3652 0.7295
Er2 Er 0.5000 0.0000 0.0000

=====

(2)
# Pr4DyEr8 | Alexandria via LeMat-Bulk | GGA-PBE | relaxed
# **Energy of formation from the pure elements**: 51 kJ per mole of atoms
data_Pr4DyEr8
_cell_length_a 11.0453
_cell_length_b 11.0453
_cell_length_c 13.4688
_cell_angle_alpha 90.00
_cell_angle_beta 90.00
_cell_angle_gamma 120.00
_symmetry_space_group_name_H-M 'R -3 m'
_symmetry_Int_Tables_number 166
_symmetry_space_group_name_Hall '-R 3 2"'
loop_
_atom_site_label
_atom_site_type_symbol
_atom_site_fract_x
_atom_site_fract_y
_atom_site_fract_z
Pr1 Pr 0.0000 0.0000 0.0000
Pr2 Pr 0.0000 0.5000 0.0000
Dy1 Dy 0.0000 0.0000 0.5000
Er1 Er 0.0000 0.0000 0.2402
Er2 Er 0.0126 0.5063 0.7458

=====

(3)
# Pr5Dy2Er3 | Alexandria via LeMat-Bulk | GGA-PBE | relaxed
# **Energy of formation from the pure elements**: 36 kJ per mole of atoms
data_Pr5Dy2Er3
_cell_length_a 9.4578
_cell_length_b 13.7184
_cell_length_c 11.0242
_cell_angle_alpha 90.00
_cell_angle_beta 90.00
_cell_angle_gamma 90.00
_symmetry_space_group_name_H-M 'I b a m'
_symmetry_Int_Tables_number 72
_symmetry_space_group_name_Hall '-I 2 2c'
loop_
_atom_site_label
_atom_site_type_symbol
_atom_site_fract_x
_atom_site_fract_y
_atom_site_fract_z
Pr1 Pr 0.0000 0.0000 0.2500
Pr2 Pr 0.0000 0.2545 0.2500
Pr3 Pr 0.1046 0.1308 0.0000
Dy1 Dy 0.0872 0.3825 0.5000
Er1 Er 0.0000 0.5000 0.2500
Er2 Er 0.2489 0.1227 0.5000

=====

(4)
# PrDy12Er3 | Alexandria via LeMat-Bulk | GGA-PBE | relaxed
# **Energy of formation from the pure elements**: 2 kJ per mole of atoms
data_PrDy12Er3
_cell_length_a 5.0146
_cell_length_b 5.0146
_cell_length_c 20.0497
_cell_angle_alpha 90.00
_cell_angle_beta 90.00
_cell_angle_gamma 90.00
_symmetry_space_group_name_H-M 'P 4/m m m'
_symmetry_Int_Tables_number 123
_symmetry_space_group_name_Hall '-P 4 2'
loop_
_atom_site_label
_atom_site_type_symbol
_atom_site_fract_x
_atom_site_fract_y
_atom_site_fract_z
Pr1 Pr 0.0000 0.0000 0.0000
Dy1 Dy 0.0000 0.5000 0.1275
Dy2 Dy 0.0000 0.5000 0.3758
Dy3 Dy 0.5000 0.5000 0.0000
Dy4 Dy 0.5000 0.5000 0.2522
Dy5 Dy 0.5000 0.5000 0.5000
Er1 Er 0.0000 0.0000 0.2515
Er2 Er 0.0000 0.0000 0.5000

=====

(5)
# Pr8Dy3Er | Alexandria via LeMat-Bulk | GGA-PBE | relaxed
# **Energy of formation from the pure elements**: 10 kJ per mole of atoms
data_Pr8Dy3Er
_cell_length_a 7.1144
_cell_length_b 12.0907
_cell_length_c 9.9187
_cell_angle_alpha 90.00
_cell_angle_beta 104.16
_cell_angle_gamma 90.00
_symmetry_space_group_name_H-M 'C 1 2/m 1'
_symmetry_Int_Tables_number 12
loop_
_symmetry_equiv_pos_as_xyz
'x,y,z'
'-x,-y,-z'
'-x,y,-z'
'x,-y,z'
'x+1/2,y+1/2,z'
'-x+1/2,-y+1/2,-z'
'-x+1/2,y+1/2,-z'
'x+1/2,-y+1/2,z'
loop_
_atom_site_label
_atom_site_type_symbol
_atom_site_fract_x
_atom_site_fract_y
_atom_site_fract_z
Pr1 Pr 0.0691 0.2486 0.3343
Pr2 Pr 0.1824 0.0000 0.1647
Pr3 Pr 0.1819 0.5000 0.1674
Dy1 Dy 0.0000 0.5000 0.5000
Dy2 Dy 0.2500 0.2500 0.0000
Er1 Er 0.0000 0.0000 0.5000

=====

(6)
# PrDy3Er5 | Alexandria via LeMat-Bulk | GGA-PBE | relaxed
# **E above lowest polymorph**: 0 meV/atom
# **Energy of formation from the pure elements**: 32 kJ per mole of atoms
data_PrDy3Er5
_cell_length_a 17.2559
_cell_length_b 6.1444
_cell_length_c 11.1800
_cell_angle_alpha 90.00
_cell_angle_beta 90.64
_cell_angle_gamma 90.00
_symmetry_space_group_name_H-M 'C 1 2/c 1'
_symmetry_Int_Tables_number 15
loop_
_symmetry_equiv_pos_as_xyz
'x,y,z'
'-x,-y,-z'
'-x,y,-z+1/2'
'x,-y,z+1/2'
'x+1/2,y+1/2,z'
'-x+1/2,-y+1/2,-z'
'-x+1/2,y+1/2,-z+1/2'
'x+1/2,-y+1/2,z+1/2'
loop_
_atom_site_label
_atom_site_type_symbol
_atom_site_fract_x
_atom_site_fract_y
_atom_site_fract_z
Pr1 Pr 0.0000 0.1292 0.2500
Dy1 Dy 0.0000 0.0000 0.0000
Dy2 Dy 0.1654 0.2795 0.0843
Er1 Er 0.0000 0.3987 0.7500
Er2 Er 0.1660 0.2719 0.4132
Er3 Er 0.1731 0.2046 0.7480

=====

(7)
# Pr2Dy3Er | Alexandria via LeMat-Bulk | GGA-PBE | relaxed
# **E above lowest polymorph**: 94 meV/atom
# **Energy of formation from the pure elements**: 19 kJ per mole of atoms
data_Pr2Dy3Er
_cell_length_a 10.3560
_cell_length_b 11.5008
_cell_length_c 6.7008
_cell_angle_alpha 90.00
_cell_angle_beta 90.51
_cell_angle_gamma 90.00
_symmetry_space_group_name_H-M 'C 1 2/c 1'
_symmetry_Int_Tables_number 15
loop_
_symmetry_equiv_pos_as_xyz
'x,y,z'
'-x,-y,-z'
'-x,y,-z+1/2'
'x,-y,z+1/2'
'x+1/2,y+1/2,z'
'-x+1/2,-y+1/2,-z'
'-x+1/2,y+1/2,-z+1/2'
'x+1/2,-y+1/2,z+1/2'
loop_
_atom_site_label
_atom_site_type_symbol
_atom_site_fract_x
_atom_site_fract_y
_atom_site_fract_z
Pr1 Pr 0.1677 0.2354 0.2480
Dy1 Dy 0.0000 0.2655 0.7500
Dy2 Dy 0.1670 0.4990 0.4997
Er1 Er 0.0000 0.0000 0.0000

=====

(8)
# PrDy2Er7 | Alexandria via LeMat-Bulk | GGA-PBE | relaxed
# **E above lowest polymorph**: 688 meV/atom
# **Energy of formation from the pure elements**: 68 kJ per mole of atoms
data_PrDy2Er7
_cell_length_a 8.6725
_cell_length_b 16.0918
_cell_length_c 5.5687
_cell_angle_alpha 90.00
_cell_angle_beta 90.00
_cell_angle_gamma 90.00
_symmetry_space_group_name_H-M 'C m m m'
_symmetry_Int_Tables_number 65
_symmetry_space_group_name_Hall '-C 2 2'
loop_
_atom_site_label
_atom_site_type_symbol
_atom_site_fract_x
_atom_site_fract_y
_atom_site_fract_z
Pr1 Pr 0.0000 0.0000 0.0000
Dy1 Dy 0.0000 0.2969 0.5000
Er1 Er 0.0000 0.2150 0.0000
Er2 Er 0.0000 0.5000 0.5000
Er3 Er 0.1765 0.1149 0.5000

=====

(9)
# PrDy14Er | Alexandria via LeMat-Bulk | GGA-PBE | relaxed
# **Energy of formation from the pure elements**: 0 kJ per mole of atoms
data_PrDy14Er
_cell_length_a 11.4746
_cell_length_b 7.1274
_cell_length_c 12.3515
_cell_angle_alpha 90.00
_cell_angle_beta 90.00
_cell_angle_gamma 90.00
_symmetry_space_group_name_H-M 'A m m 2'
_symmetry_Int_Tables_number 38
loop_
_symmetry_equiv_pos_as_xyz
'x,y,z'
'-x,-y,z'
'-x,y,z'
'x,-y,z'
'x,y+1/2,z+1/2'
'-x,-y+1/2,z+1/2'
'-x,y+1/2,z+1/2'
'x,-y+1/2,z+1/2'
loop_
_atom_site_label
_atom_site_type_symbol
_atom_site_fract_x
_atom_site_fract_y
_atom_site_fract_z
Pr1 Pr 0.0000 0.0000 0.0000
Dy1 Dy 0.0000 0.2502 0.2501
Dy2 Dy 0.2497 0.0000 0.3335
Dy3 Dy 0.2520 0.0000 0.8331
Dy4 Dy 0.2516 0.2505 0.0835
Dy5 Dy 0.5000 0.0000 0.1671
Dy6 Dy 0.5000 0.0000 0.6667
Dy7 Dy 0.5000 0.2497 0.4168
Er1 Er 0.0000 0.0000 0.5001

=====

(10)
# Pr4Dy10Er | Alexandria via LeMat-Bulk | GGA-PBE | relaxed
# **Energy of formation from the pure elements**: 25 kJ per mole of atoms
data_Pr4Dy10Er
_cell_length_a 11.3210
_cell_length_b 11.3210
_cell_length_c 7.9752
_cell_angle_alpha 90.00
_cell_angle_beta 90.00
_cell_angle_gamma 90.00
_symmetry_space_group_name_H-M 'I 4/m m m'
_symmetry_Int_Tables_number 139
_symmetry_space_group_name_Hall '-I 4 2'
loop_
_atom_site_label
_atom_site_type_symbol
_atom_site_fract_x
_atom_site_fract_y
_atom_site_fract_z
Pr1 Pr 0.2275 0.2275 0.0000
Dy1 Dy 0.0000 0.2081 0.2931
Dy2 Dy 0.0000 0.5000 0.2500
Er1 Er 0.0000 0.0000 0.0000

=====

(11)
# Pr6Dy3Er2 | Alexandria via LeMat-Bulk | GGA-PBE | relaxed
# **E above lowest polymorph**: 219 meV/atom
# **Energy of formation from the pure elements**: 29 kJ per mole of atoms
data_Pr6Dy3Er2
_cell_length_a 4.7681
_cell_length_b 4.7681
_cell_length_c 34.2555
_cell_angle_alpha 90.00
_cell_angle_beta 90.00
_cell_angle_gamma 90.00
_symmetry_space_group_name_H-M 'I 4/m m m'
_symmetry_Int_Tables_number 139
_symmetry_space_group_name_Hall '-I 4 2'
loop_
_atom_site_label
_atom_site_type_symbol
_atom_site_fract_x
_atom_site_fract_y
_atom_site_fract_z
Pr1 Pr 0.0000 0.0000 0.2070
Pr2 Pr 0.0000 0.5000 0.1190
Dy1 Dy 0.0000 0.0000 0.3072
Dy2 Dy 0.0000 0.0000 0.5000
Er1 Er 0.0000 0.0000 0.0446

=====

(12)
# Pr4DyEr5 | Alexandria via LeMat-Bulk | GGA-PBE | relaxed
# **E above lowest polymorph**: 40 meV/atom
# **Energy of formation from the pure elements**: 23 kJ per mole of atoms
data_Pr4DyEr5
_cell_length_a 10.7249
_cell_length_b 10.7249
_cell_length_c 5.9456
_cell_angle_alpha 90.00
_cell_angle_beta 90.00
_cell_angle_gamma 90.00
_symmetry_space_group_name_H-M 'I 4 m m'
_symmetry_Int_Tables_number 107
_symmetry_space_group_name_Hall 'I 4 -2'
loop_
_atom_site_label
_atom_site_type_symbol
_atom_site_fract_x
_atom_site_fract_y
_atom_site_fract_z
Pr1 Pr 0.0000 0.3231 0.0000
Dy1 Dy 0.0000 0.0000 0.7574
Er1 Er 0.0000 0.0000 0.2355
Er2 Er 0.1884 0.1884 0.4955

=====

(13)
# PrDyEr3 | Alexandria via LeMat-Bulk | GGA-PBE | relaxed
# **E above lowest polymorph**: 0 meV/atom
# **Energy of formation from the pure elements**: 1 kJ per mole of atoms
data_PrDyEr3
_cell_length_a 6.2810
_cell_length_b 5.6553
_cell_length_c 9.5876
_cell_angle_alpha 90.00
_cell_angle_beta 109.03
_cell_angle_gamma 90.00
_symmetry_space_group_name_H-M 'P 1 21/m 1'
_symmetry_Int_Tables_number 11
loop_
_symmetry_equiv_pos_as_xyz
'x,y,z'
'-x,-y,-z'
'-x,y+1/2,-z'
'x,-y+1/2,z'
loop_
_atom_site_label
_atom_site_type_symbol
_atom_site_fract_x
_atom_site_fract_y
_atom_site_fract_z
Pr1 Pr 0.0683 0.2500 0.3001
Dy1 Dy 0.4659 0.2500 0.0992
Er1 Er 0.1352 0.7500 0.0984
Er2 Er 0.2681 0.2500 0.7017
Er3 Er 0.3366 0.7500 0.5008

=====

(14)
# Pr2Dy6Er3 | Alexandria via LeMat-Bulk | GGA-PBE | relaxed
# **E above lowest polymorph**: 0 meV/atom
# **Energy of formation from the pure elements**: 17 kJ per mole of atoms
data_Pr2Dy6Er3
_cell_length_a 6.1038
_cell_length_b 10.5840
_cell_length_c 11.7199
_cell_angle_alpha 90.00
_cell_angle_beta 100.11
_cell_angle_gamma 90.00
_symmetry_space_group_name_H-M 'C 1 2/m 1'
_symmetry_Int_Tables_number 12
loop_
_symmetry_equiv_pos_as_xyz
'x,y,z'
'-x,-y,-z'
'-x,y,-z'
'x,-y,z'
'x+1/2,y+1/2,z'
'-x+1/2,-y+1/2,-z'
'-x+1/2,y+1/2,-z'
'x+1/2,-y+1/2,z'
loop_
_atom_site_label
_atom_site_type_symbol
_atom_site_fract_x
_atom_site_fract_y
_atom_site_fract_z
Pr1 Pr 0.0000 0.1668 0.0000
Dy1 Dy 0.2486 0.1667 0.7452
Dy2 Dy 0.2488 0.5000 0.7453
Er1 Er 0.0000 0.0000 0.5000
Er2 Er 0.0000 0.3347 0.5000

=====

(15)
# PrDy5Er5 | Alexandria via LeMat-Bulk | GGA-PBE | relaxed
# **Energy of formation from the pure elements**: 31 kJ per mole of atoms
data_PrDy5Er5
_cell_length_a 6.0645
_cell_length_b 6.0645
_cell_length_c 11.4480
_cell_angle_alpha 90.00
_cell_angle_beta 90.00
_cell_angle_gamma 120.00
_symmetry_space_group_name_H-M 'P -6 m 2'
_symmetry_Int_Tables_number 187
_symmetry_space_group_name_Hall 'P -6 2'
loop_
_atom_site_label
_atom_site_type_symbol
_atom_site_fract_x
_atom_site_fract_y
_atom_site_fract_z
Pr1 Pr 0.0000 0.0000 0.0000
Dy1 Dy 0.0028 0.5014 0.5000
Dy2 Dy 0.6667 0.3333 0.2641
Er1 Er 0.0000 0.0000 0.3286
Er2 Er 0.3333 0.6667 0.1602
Er3 Er 0.6667 0.3333 0.0000

=====

(16)
# Pr2Dy7Er4 | Alexandria via LeMat-Bulk | GGA-PBE | relaxed
# **Energy of formation from the pure elements**: 19 kJ per mole of atoms
data_Pr2Dy7Er4
_cell_length_a 6.0723
_cell_length_b 6.0723
_cell_length_c 13.2920
_cell_angle_alpha 90.00
_cell_angle_beta 90.00
_cell_angle_gamma 120.00
_symmetry_space_group_name_H-M 'P -3 1 m'
_symmetry_Int_Tables_number 162
_symmetry_space_group_name_Hall '-P 3 2'
loop_
_atom_site_label
_atom_site_type_symbol
_atom_site_fract_x
_atom_site_fract_y
_atom_site_fract_z
Pr1 Pr 0.3333 0.6667 0.0000
Dy1 Dy 0.0000 0.0000 0.0000
Dy2 Dy 0.0000 0.3550 0.2189
Er1 Er 0.0000 0.0000 0.3952
Er2 Er 0.3333 0.6667 0.5000

=====

(17)
# Pr2Dy4Er5 | Alexandria via LeMat-Bulk | GGA-PBE | relaxed
# **E above lowest polymorph**: 0 meV/atom
# **Energy of formation from the pure elements**: 2 kJ per mole of atoms
data_Pr2Dy4Er5
_cell_length_a 3.5565
_cell_length_b 8.7105
_cell_length_c 11.7900
_cell_angle_alpha 75.81
_cell_angle_beta 81.36
_cell_angle_gamma 89.97
_symmetry_space_group_name_H-M 'P -1'
_symmetry_Int_Tables_number 2
loop_
_symmetry_equiv_pos_as_xyz
'x,y,z'
'-x,-y,-z'
loop_
_atom_site_label
_atom_site_type_symbol
_atom_site_fract_x
_atom_site_fract_y
_atom_site_fract_z
Pr1 Pr 0.0922 0.2293 0.3169
Dy1 Dy 0.1818 0.9536 0.1354
Dy2 Dy 0.4534 0.1399 0.5934
Er1 Er 0.0000 0.5000 0.5000
Er2 Er 0.2712 0.6810 0.9572
Er3 Er 0.3632 0.4070 0.7738

=====

(18)
# Pr5Dy6Er2 | Alexandria via LeMat-Bulk | GGA-PBE | relaxed
# **Energy of formation from the pure elements**: 9 kJ per mole of atoms
data_Pr5Dy6Er2
_cell_length_a 11.6831
_cell_length_b 20.6764
_cell_length_c 3.6157
_cell_angle_alpha 90.00
_cell_angle_beta 90.00
_cell_angle_gamma 90.00
_symmetry_space_group_name_H-M 'P b a m'
_symmetry_Int_Tables_number 55
loop_
_symmetry_equiv_pos_as_xyz
'x,y,z'
'-x,-y,-z'
'-x,-y,z'
'x,y,-z'
'x+1/2,-y+1/2,-z'
'-x+1/2,y+1/2,z'
'-x+1/2,y+1/2,-z'
'x+1/2,-y+1/2,z'
loop_
_atom_site_label
_atom_site_type_symbol
_atom_site_fract_x
_atom_site_fract_y
_atom_site_fract_z
Pr1 Pr 0.0000 0.0000 0.0000
Pr2 Pr 0.0834 0.2727 0.0000
Pr3 Pr 0.1979 0.5515 0.0000
Dy1 Dy 0.0631 0.4188 0.5000
Dy2 Dy 0.0810 0.1318 0.5000
Dy3 Dy 0.1745 0.8608 0.0000
Er1 Er 0.1715 0.7108 0.5000

=====

(19)
# Pr7Dy3Er | Alexandria via LeMat-Bulk | GGA-PBE | relaxed
# **E above lowest polymorph**: 38 meV/atom
# **Energy of formation from the pure elements**: 21 kJ per mole of atoms
data_Pr7Dy3Er
_cell_length_a 12.8935
_cell_length_b 11.4672
_cell_length_c 5.9574
_cell_angle_alpha 90.00
_cell_angle_beta 117.47
_cell_angle_gamma 90.00
_symmetry_space_group_name_H-M 'C 1 2/m 1'
_symmetry_Int_Tables_number 12
loop_
_symmetry_equiv_pos_as_xyz
'x,y,z'
'-x,-y,-z'
'-x,y,-z'
'x,-y,z'
'x+1/2,y+1/2,z'
'-x+1/2,-y+1/2,-z'
'-x+1/2,y+1/2,-z'
'x+1/2,-y+1/2,z'
loop_
_atom_site_label
_atom_site_type_symbol
_atom_site_fract_x
_atom_site_fract_y
_atom_site_fract_z
Pr1 Pr 0.0000 0.0000 0.0000
Pr2 Pr 0.1917 0.2891 0.6915
Pr3 Pr 0.2094 0.5000 0.2078
Dy1 Dy 0.0000 0.2950 0.0000
Dy2 Dy 0.0000 0.5000 0.5000
Er1 Er 0.0000 0.0000 0.5000

=====

no.,density of states at the Fermi level (states/eV/cell)
1,18.234
2,67.929
3,57.804
4,21.196
5,45.222
6,52.488
7,39.695
8,29.038
9,37.653
10,44.143
11,33.180
12,24.970
13,15.722
14,35.895
15,18.030
16,18.308
17,14.879
18,31.520
19,28.301